1.
This record from Alexandria via LeMat-Bulk describes an optimized crystal structure of Pa2TcGe4Ir3. The functional is PBE-GGA.

Values from the calculation:
Its space group is P-4m2. As for the crystal system: tetragonal.

Lattice parameters (Å, degrees): 4.278 4.278 9.898 90.00 90.00 90.00
Sites, in units of the cell vectors:
Pa  0.500  0.000  0.260
Pa  0.000  0.500  0.740
Tc  0.500  0.500  0.500
Ge  0.500  0.500  0.000
Ge  0.000  0.000  0.000
Ge  0.500  0.000  0.630
Ge  0.000  0.500  0.370
Ir  0.000  0.000  0.500
Ir  0.500  0.000  0.873
Ir  0.000  0.500  0.127

2.
This record from Alexandria via LeMat-Bulk describes an optimized crystal structure of Pa2TcGe3Ir4. The functional is PBE-GGA.

Values from the calculation:
Its space group is P-4m2. As for the crystal system: tetragonal.

Lattice parameters (Å, degrees): 4.122 4.122 10.600 90.00 90.00 90.00
Site moments in Bohr magnetons follow the coordinates.
Sites, in units of the cell vectors:
Pa  0.500  0.000  0.242  0.04
Pa  0.000  0.500  0.758  0.04
Tc  0.500  0.500  0.500  0.56
Ge  0.000  0.000  0.500  0.01
Ge  0.500  0.000  0.867  0.00
Ge  0.000  0.500  0.133  0.00
Ir  0.500  0.500  0.000  0.00
Ir  0.000  0.000  0.000  0.00
Ir  0.500  0.000  0.639  0.03
Ir  0.000  0.500  0.361  0.03

| no. | formation energy (eV/atom) |
| --- | --- |
| 1 | -0.606 |
| 2 | -0.568 |